[1]
# Ca3Th2ZrN6

A geometry-optimized Ca3Th2ZrN6 structure (PBE, Alexandria).

The structure in extended XYZ format:
```
12
Lattice="3.551 0.000 0.000 0.000 7.068 0.300 -1.776 -1.988 7.509" Properties=species:S:1:pos:R:3 pbc="T T T"
Ca 1.776 -0.157 5.196
N 1.776 -0.027 2.256
Th 0.000 1.630 2.558
N 0.000 1.751 5.085
N 1.776 3.329 2.724
N 1.776 3.518 7.681
Ca 0.000 5.237 2.613
N 0.000 5.107 5.553
N 0.000 1.563 0.128
Ca 1.776 3.534 0.150
Zr 1.776 0.000 0.000
Th 1.776 3.450 5.251
```



[2]
# Ca3TiN

A geometry-optimized Ca3TiN structure (PBE, Alexandria).

The structure in extended XYZ format:
```
5
Lattice="5.629 0.000 0.000 0.000 5.629 0.000 0.000 0.000 5.629" Properties=species:S:1:pos:R:3 pbc="T T T"
N 2.814 2.814 2.814
Ca 0.000 2.814 0.000
Ti 0.000 0.000 0.000
Ca 0.000 0.000 2.814
Ca 2.814 0.000 0.000
```

Values from the calculation:
Its density of states at the Fermi level is 6.94 states/eV/f.u.



Calculated total energy per entry: -8.024; -2.726 eV/atom